# 1
Crystalline Re2NiSb at its relaxed geometry. Source: the Alexandria database, functional PBE.

Unit cell a=4.4399 b=4.4399 c=4.4399 alpha=60.00 beta=60.00 gamma=60.00
With the nearest neighbours (Å) after each atom.
Atoms (fractional coordinates):
Ni  0.5000  0.5000  0.5000  4 Re 2.72, 4 Sb 2.72
Re  0.0000  0.0000  0.0000  4 Re 2.72, 4 Sb 2.72
Re  0.2500  0.2500  0.2500  4 Re 2.72, 4 Ni 2.72
Sb  0.7500  0.7500  0.7500  4 Re 2.72, 4 Ni 2.72

DOS at the Fermi energy ... 1.31 states/eV/atom
VASP energy ... -32.7 eV/f.u.
Magnetic moment ... 0.14 μB/f.u.

# 2
Crystalline ReNi2Sb at its relaxed geometry. Source: the Alexandria database, functional PBE.

Unit cell a=3.8555 b=3.8555 c=9.1240 alpha=77.80 beta=77.80 gamma=90.00
With the nearest neighbours (Å) after each atom.
Atoms (fractional coordinates):
Re  0.0000  0.0000  0.0000  4 Ni 2.54, 4 Sb 2.73
Re  0.7500  0.2500  0.5000  4 Ni 2.54, 4 Sb 2.73
Ni  0.6482  0.1250  0.2500  2 Re 2.54, 2 Ni 2.60, 2 Sb 2.60
Ni  0.1018  0.6250  0.2500  2 Re 2.54, 2 Ni 2.60, 2 Sb 2.60
Ni  0.3750  0.3518  0.7500  2 Re 2.54, 2 Ni 2.60, 2 Sb 2.60
Ni  0.8750  0.8982  0.7500  2 Re 2.54, 2 Ni 2.60, 2 Sb 2.60
Sb  0.5000  0.5000  0.0000  4 Ni 2.60, 4 Re 2.73
Sb  0.2500  0.7500  0.5000  4 Ni 2.60, 4 Re 2.73

DOS at the Fermi energy ... 1.16 states/eV/atom
VASP energy ... -25.4 eV/f.u.
Magnetic moment ... 1.67 μB/f.u.

# 3
Crystalline ReNiSb2 at its relaxed geometry. Source: the Alexandria database, functional PBE.

Unit cell a=4.6490 b=4.6490 c=4.6490 alpha=60.00 beta=60.00 gamma=60.00
With the nearest neighbours (Å) after each atom.
Atoms (fractional coordinates):
Re  0.5000  0.5000  0.5000  8 Sb 2.85
Ni  0.0000  0.0000  0.0000  8 Sb 2.85
Sb  0.2500  0.2500  0.2500  4 Re 2.85, 4 Ni 2.85
Sb  0.7500  0.7500  0.7500  4 Ni 2.85, 4 Re 2.85

DOS at the Fermi energy ... 1.03 states/eV/atom
VASP energy ... -24.5 eV/f.u.
Magnetic moment ... 0.82 μB/f.u.
Polymorph energy (0 for the lowest one) ... 275 meV per atom

# 4
Crystalline Re2NiSb at its relaxed geometry. Source: the Alexandria database, functional PBE.

Unit cell a=4.7352 b=4.7352 c=4.7352 alpha=129.89 beta=129.89 gamma=73.59
With the nearest neighbours (Å) after each atom.
Atoms (fractional coordinates):
Ni  0.7500  0.2500  0.5000  8 Re 2.76-2.84, 4 Sb 2.76
Re  0.0000  0.0000  0.0000  4 Ni 2.76, 4 Re 2.76, 4 Sb 2.84
Re  0.2500  0.7500  0.5000  4 Sb 2.76, 4 Re 2.76, 4 Ni 2.84
Sb  0.5000  0.5000  0.0000  8 Re 2.76-2.84, 4 Ni 2.76

DOS at the Fermi energy ... 0.61 states/eV/atom
VASP energy ... -33.3 eV/f.u.
Magnetic moment ... 0.00 μB/f.u.

# 5
Crystalline ReNi2Sb at its relaxed geometry. Source: the Alexandria database, functional PBE.

Unit cell a=4.3389 b=4.3389 c=4.3389 alpha=60.00 beta=60.00 gamma=60.00
With the nearest neighbours (Å) after each atom.
Atoms (fractional coordinates):
Ni  0.0000  0.0000  0.0000  4 Sb 2.66, 4 Ni 2.66
Ni  0.7500  0.7500  0.7500  4 Re 2.66, 4 Ni 2.66
Re  0.5000  0.5000  0.5000  4 Ni 2.66, 4 Sb 2.66
Sb  0.2500  0.2500  0.2500  4 Re 2.66, 4 Ni 2.66

DOS at the Fermi energy ... 1.42 states/eV/atom
VASP energy ... -27.0 eV/f.u.
Magnetic moment ... 0.00 μB/f.u.

# 6
Crystalline ReNiSb2 at its relaxed geometry. Source: the Alexandria database, functional PBE.

Unit cell a=5.4389 b=5.4389 c=5.4389 alpha=137.77 beta=137.77 gamma=61.25
With the nearest neighbours (Å) after each atom.
Atoms (fractional coordinates):
Ni  0.5000  0.5000  0.0000  8 Sb 2.77-3.05, 4 Re 3.05
Re  0.7500  0.2500  0.5000  8 Sb 2.77-3.05, 4 Ni 3.05
Sb  0.0000  0.0000  0.0000  4 Ni 2.77, 4 Sb 3.05, 4 Re 3.05
Sb  0.2500  0.7500  0.5000  4 Re 2.77, 4 Sb 3.05, 4 Ni 3.05

DOS at the Fermi energy ... 1.13 states/eV/atom
VASP energy ... -23.9 eV/f.u.
Magnetic moment ... 0.00 μB/f.u.
Polymorph energy (0 for the lowest one) ... 423 meV per atom

# 7
Crystalline ReNiSb2 at its relaxed geometry. Source: the Alexandria database, functional PBE.

Unit cell a=10.3672 b=10.3672 c=10.3672 alpha=17.22 beta=17.22 gamma=17.22
With the nearest neighbours (Å) after each atom.
Atoms (fractional coordinates):
Ni  0.4913  0.4913  0.4913  3 Sb 2.63, 3 Re 2.64
Re  0.7613  0.7613  0.7613  3 Ni 2.64, 3 Sb 2.75
Sb  0.0267  0.0267  0.0267  3 Re 2.75
Sb  0.2206  0.2206  0.2206  3 Ni 2.63

DOS at the Fermi energy ... 0.83 states/eV/atom
VASP energy ... -24.8 eV/f.u.
Magnetic moment ... 0.00 μB/f.u.
Polymorph energy (0 for the lowest one) ... 209 meV per atom

# 8
Crystalline Re3NiSb at its relaxed geometry. Source: the Alexandria database, functional PBE.

Unit cell a=4.7978 b=4.7978 c=4.7978 alpha=90.00 beta=90.00 gamma=90.00
With the nearest neighbours (Å) after each atom.
Atoms (fractional coordinates):
Re  0.0000  0.5000  0.0000  2 Sb 2.40
Re  0.0000  0.0000  0.5000  2 Sb 2.40
Re  0.5000  0.0000  0.0000  2 Sb 2.40
Ni  0.5000  0.5000  0.5000  12 Re 3.39
Sb  0.0000  0.0000  0.0000  6 Re 2.40

DOS at the Fermi energy ... 1.59 states/eV/atom
VASP energy ... -32.6 eV/f.u.
Magnetic moment ... 0.75 μB/f.u.
Polymorph energy (0 for the lowest one) ... 1214 meV per atom

It is found that the calculated volume values, taken in the order of the records, are 61.9 129.4 71.1 61.0 57.8 71.9 85.2 110.4 Å³/cell.